Compound: VF3
Source: Alexandria
Functional: PBE+U
Structure: optimized geometry

Cell lengths 7.146, 7.146, 7.146 Å; angles 26.96, 26.96, 26.96 degrees
Sites, in units of the cell vectors:
V 0.000 0.000 0.000
F 0.373 0.373 0.373
F 0.500 0.500 0.500
F 0.627 0.627 0.627

## Properties
As for the total moment: 3.28 Bohr magnetons per cell. For the density of states at the Fermi level, the calculation gives 4.89 states/eV/cell. The crystal system is trigonal. The space-group type is R-3m, No. 166. The value obtained for the total energy is -5.104 eV/atom.